[1]
First-principles (PBE) data for crystalline TiFeSbCl2 at its relaxed geometry, as listed in the Alexandria database.

Properties
Its space group is P4/mmm. Its formation energy (no corrections) is 0.278 eV/atom.

Cell: 4.343 4.343 5.604 Å, 90.00 90.00 90.00°
Sites, in units of the cell vectors:
Ti 0.000 0.000 0.000
Fe 0.500 0.500 0.500
Sb 0.500 0.500 0.000
Cl 0.000 0.500 0.500
Cl 0.500 0.000 0.500


[2]
First-principles (PBE) data for crystalline Ti2TeOs at its relaxed geometry, as listed in the Alexandria database.

Properties
Its space group is I-42d. Its formation energy (no corrections) is 0.052 eV/atom.

Cell: 5.889 5.889 5.889 Å, 103.95 103.95 121.19°
Sites, in units of the cell vectors:
Ti 0.086 0.125 0.461
Ti 0.375 0.914 0.039
Ti 0.664 0.625 0.539
Ti 0.875 0.336 0.961
Te 0.250 0.750 0.500
Te 0.500 0.500 0.000
Os 0.000 0.000 0.000
Os 0.750 0.250 0.500


[3]
First-principles (PBE) data for crystalline AgHPt2Rh at its relaxed geometry, as listed in the Alexandria database.

Properties
Its space group is P4/mmm.

Cell: 3.951 3.951 4.233 Å, 90.00 90.00 90.00°
Sites, in units of the cell vectors:
Ag 0.000 0.000 0.000
H 0.000 0.000 0.500
Pt 0.000 0.500 0.500
Pt 0.500 0.000 0.500
Rh 0.500 0.500 0.000


Going through the records in order, we get energy values of -4.5563 -7.4879 -4.9391 eV/atom.
Going through the records in order, we get volume values of 21.1 19.0 13.2 A^3/atom.